(1)
## PtRhAu (PBE-GGA)

Data for an optimized crystal structure of PtRhAu.

Unit cell a=2.8209 b=2.8209 c=6.9388 alpha=90.00 beta=90.00 gamma=120.00
With the nearest neighbours (Å) after each atom.
Element x y z (fractional)
Pt 0.0000 0.0000 0.0000  3 Rh 2.73, 6 Pt 2.82, 3 Au 2.91
Rh 0.6667 0.3333 0.3164  3 Pt 2.73, 6 Rh 2.82, 3 Au 2.85
Au 0.3333 0.6667 0.6527  6 Au 2.82, 3 Rh 2.85, 3 Pt 2.91

The formation energy comes out at 0.09 eV per atom.


(2)
## Th2Sb3Rh5 (PBE-GGA)

Data for an optimized crystal structure of Th2Sb3Rh5.

Unit cell a=12.9435 b=12.9435 c=7.3761 alpha=90.00 beta=90.00 gamma=160.39
With the nearest neighbours (Å) after each atom.
Element x y z (fractional)
Th 0.0100 0.9900 0.5000  3 Rh 2.90-2.91, 3 Sb 3.11-3.22
Th 0.3212 0.6788 0.4625  8 Rh 3.05-3.38, 2 Sb 3.26
Th 0.6788 0.3212 0.9625  8 Rh 3.05-3.38, 2 Sb 3.26
Th 0.9900 0.0100 0.0000  3 Rh 2.90-2.91, 3 Sb 3.11-3.22
Sb 0.1106 0.8894 0.7381  6 Rh 2.61-2.82
Sb 0.2809 0.7191 0.9082  7 Rh 2.63-2.82
Sb 0.4372 0.5628 0.7395  4 Rh 2.65-2.86
Sb 0.5628 0.4372 0.2395  4 Rh 2.65-2.86
Sb 0.7191 0.2809 0.4082  7 Rh 2.63-2.82
Sb 0.8894 0.1106 0.2381  6 Rh 2.61-2.82
Rh 0.1009 0.8991 0.0905  3 Sb 2.61-2.65, 1 Th 2.91
Rh 0.2078 0.7922 0.6215  4 Sb 2.63-2.82, 2 Rh 2.92
Rh 0.2215 0.7785 0.2061  3 Sb 2.66-2.67, 2 Rh 2.92
Rh 0.3757 0.6243 0.0478  4 Sb 2.63-2.76
Rh 0.4498 0.5502 0.3539  4 Sb 2.82-3.00, 2 Th 2.90, 3 Rh 2.94-3.10
Rh 0.5502 0.4498 0.8539  4 Sb 2.82-3.00, 2 Th 2.90, 3 Rh 2.94-3.10
Rh 0.6243 0.3757 0.5478  4 Sb 2.63-2.76
Rh 0.7785 0.2215 0.7061  3 Sb 2.66-2.67, 2 Rh 2.92
Rh 0.7922 0.2078 0.1215  4 Sb 2.63-2.82, 2 Rh 2.92
Rh 0.8991 0.1009 0.5905  3 Sb 2.61-2.65, 1 Th 2.91

The calculation puts the raw total energy at -7.0991 eV/atom.


(3)
## ScTaAs (PBE-GGA)

Data for an optimized crystal structure of ScTaAs.

Unit cell a=6.2011 b=6.2011 c=6.2011 alpha=90.00 beta=90.00 gamma=90.00
With the nearest neighbours (Å) after each atom.
Element x y z (fractional)
Sc 0.0000 0.0000 0.0000  4 As 2.69
Sc 0.0000 0.5000 0.5000  4 As 2.69
Sc 0.5000 0.0000 0.5000  4 As 2.69
Sc 0.5000 0.5000 0.0000  4 As 2.69
Ta 0.0000 0.0000 0.5000  4 As 2.69
Ta 0.0000 0.5000 0.0000  4 As 2.69
Ta 0.5000 0.0000 0.0000  4 As 2.69
Ta 0.5000 0.5000 0.5000  4 As 2.69
As 0.2500 0.2500 0.7500  4 Ta 2.69, 4 Sc 2.69
As 0.2500 0.7500 0.2500  4 Ta 2.69, 4 Sc 2.69
As 0.7500 0.2500 0.2500  4 Ta 2.69, 4 Sc 2.69
As 0.7500 0.7500 0.7500  4 Ta 2.69, 4 Sc 2.69

The formation energy comes out at -0.24 eV per atom.


(4)
## Dy3Er2Sc (PBE-GGA)

Data for an optimized crystal structure of Dy3Er2Sc.

Unit cell a=5.7449 b=11.0209 c=5.7281 alpha=90.00 beta=90.00 gamma=90.00
With the nearest neighbours (Å) after each atom.
Element x y z (fractional)
Dy 0.0000 0.0000 0.0000  6 Dy 3.38-3.74, 4 Er 3.38
Dy 0.0000 0.3391 0.0000  2 Sc 3.37, 6 Dy 3.38-3.74, 2 Er 3.46
Dy 0.0000 0.6609 0.0000  2 Sc 3.37, 6 Dy 3.38-3.74, 2 Er 3.46
Dy 0.5000 0.1609 0.0000  2 Sc 3.37, 6 Dy 3.38-3.74, 2 Er 3.46
Dy 0.5000 0.5000 0.0000  6 Dy 3.38-3.74, 4 Er 3.38
Dy 0.5000 0.8391 0.0000  2 Sc 3.37, 6 Dy 3.38-3.74, 2 Er 3.46
Er 0.0000 0.1629 0.5000  4 Dy 3.38-3.46, 3 Sc 3.39-3.72, 3 Er 3.46-3.59
Er 0.0000 0.8371 0.5000  4 Dy 3.38-3.46, 3 Sc 3.39-3.72, 3 Er 3.46-3.59
Er 0.5000 0.3371 0.5000  4 Dy 3.38-3.46, 3 Sc 3.39-3.72, 3 Er 3.46-3.59
Er 0.5000 0.6629 0.5000  4 Dy 3.38-3.46, 3 Sc 3.39-3.72, 3 Er 3.46-3.59
Sc 0.0000 0.5000 0.5000  4 Dy 3.37, 6 Er 3.39-3.72
Sc 0.5000 0.0000 0.5000  4 Dy 3.37, 6 Er 3.39-3.72

The formation energy comes out at 0.14 eV per atom.


Copy entry 1 word for word.
## PtRhAu (PBE-GGA)

Data for an optimized crystal structure of PtRhAu.

Unit cell a=2.8209 b=2.8209 c=6.9388 alpha=90.00 beta=90.00 gamma=120.00
With the nearest neighbours (Å) after each atom.
Element x y z (fractional)
Pt 0.0000 0.0000 0.0000  3 Rh 2.73, 6 Pt 2.82, 3 Au 2.91
Rh 0.6667 0.3333 0.3164  3 Pt 2.73, 6 Rh 2.82, 3 Au 2.85
Au 0.3333 0.6667 0.6527  6 Au 2.82, 3 Rh 2.85, 3 Pt 2.91

The formation energy comes out at 0.09 eV per atom.


- Which formula does entry 4 have?
  Dy3Er2Sc